1.
VASP calculation (PBEsol) on an optimized crystal structure of AlCdCu2.

Properties
E	-3.59	eV per atom
formation enthalpy at 0 K	-0.10	eV/atom
size of the total moment	0.000	μB/atom
D(E_F)	0.22	states/eV per atom

Cell lengths 3.028, 3.028, 6.132 Å; angles 90.00, 90.00, 90.00 degrees
Space group P4/mmm (No. 123)
Unique sites:
Al 0.000 0.000 0.000 [1 per cell]
Cd 0.000 0.000 0.500 [1 per cell]
Cu 0.500 0.500 0.217 [2 per cell]

2.
VASP calculation (PBEsol) on an optimized crystal structure of AlCdCu3.

Properties
E	-2.60	eV per atom
formation enthalpy at 0 K	1.06	eV/atom
size of the total moment	0.000	μB/atom
D(E_F)	0.41	states/eV per atom

Cell lengths 4.666, 4.666, 4.666 Å; angles 90.00, 90.00, 90.00 degrees
Space group Pm-3m (No. 221)
Unique sites:
Al 0.000 0.000 0.000 [1 per cell]
Cd 0.500 0.500 0.500 [1 per cell]
Cu 0.000 0.500 0.500 [3 per cell]

3.
VASP calculation (PBEsol) on an optimized crystal structure of AlCdCu.

Properties
E	-2.95	eV per atom
formation enthalpy at 0 K	0.25	eV/atom
size of the total moment	0.000	μB/atom
D(E_F)	0.44	states/eV per atom

Cell lengths 6.020, 6.020, 6.020 Å; angles 90.00, 90.00, 90.00 degrees
Space group F-43m (No. 216)
Unique sites:
Al 0.000 0.000 0.000 [4 per cell]
Cd 0.250 0.250 0.750 [4 per cell]
Cu 0.250 0.250 0.250 [4 per cell]

4.
VASP calculation (PBEsol) on an optimized crystal structure of Al2CdCuGe.

Properties
E	-2.87	eV per atom
formation enthalpy at 0 K	0.86	eV/atom
size of the total moment	0.000	μB/atom
D(E_F)	0.40	states/eV per atom

Cell lengths 4.862, 4.862, 4.999 Å; angles 90.00, 90.00, 90.00 degrees
Space group P4/mmm (No. 123)
Unique sites:
Al 0.000 0.500 0.000 [2 per cell]
Cd 0.000 0.000 0.500 [1 per cell]
Cu 0.500 0.500 0.500 [1 per cell]
Ge 0.000 0.000 0.000 [1 per cell]

5.
VASP calculation (PBEsol) on an optimized crystal structure of AlCdCu2Sb.

Properties
E	-2.94	eV per atom
size of the total moment	0.000	μB/atom
formation energy without anion corrections	74	kJ per mole of atoms
D(E_F)	0.34	states/eV per atom

Cell lengths 4.719, 4.719, 5.647 Å; angles 90.00, 90.00, 90.00 degrees
Space group P4/mmm (No. 123)
Unique sites:
Al 0.000 0.000 0.000 [1 per cell]
Cd 0.500 0.500 0.000 [1 per cell]
Cu 0.000 0.500 0.500 [2 per cell]
Sb 0.500 0.500 0.500 [1 per cell]

6.
VASP calculation (PBEsol) on an optimized crystal structure of MnAl2CdF.

Properties
E	-4.24	eV per atom
size of the total moment	0.627	μB/atom
formation energy without anion corrections	-3	kJ per mole of atoms
D(E_F)	0.53	states/eV per atom

Cell lengths 4.167, 4.167, 4.700 Å; angles 90.00, 90.00, 90.00 degrees
Space group P4/mmm (No. 123)
Unique sites:
Mn 0.000 0.000 0.000 [1 per cell]
Al 0.000 0.500 0.500 [2 per cell]
Cd 0.500 0.500 0.000 [1 per cell]
F 0.500 0.500 0.500 [1 per cell]